(1)
{"formula": "FeRePbI2", "functional": "PBE", "state": "relaxed", "lattice_angstrom": [[5.488, 0.000, 0.000], [0.000, 5.488, 0.000], [0.000, 0.000, 4.610]], "species": ["Fe", "Re", "Pb", "I", "I"], "frac_coords": [[0.000, 0.000, 0.000], [0.000, 0.000, 0.500], [0.500, 0.500, 0.000], [0.000, 0.500, 0.500], [0.500, 0.000, 0.500]], "dos_ef_per_ev_atom": 1.108, "raw_formation_energy_ev_per_atom": 1.06}


(2)
{"formula": "La2CdTc", "functional": "PBE", "state": "relaxed", "lattice_angstrom": [[0.000, 3.618, 3.618], [3.618, 0.000, 3.618], [3.618, 3.618, 0.000]], "species": ["La", "La", "Cd", "Tc"], "frac_coords": [[0.000, 0.000, 0.000], [0.250, 0.250, 0.250], [0.500, 0.500, 0.500], [0.750, 0.750, 0.750]], "dos_ef_per_ev_atom": 1.529, "e_form_ev_per_atom": 0.184}


(3)
{"formula": "TlTe2Pd", "functional": "PBE", "state": "relaxed", "lattice_angstrom": [[4.125, 0.000, 0.000], [-2.062, 3.572, 0.000], [0.000, 0.000, 7.717]], "species": ["Tl", "Te", "Te", "Pd"], "frac_coords": [[0.000, 0.000, 0.000], [0.333, 0.667, 0.319], [0.667, 0.333, 0.681], [0.000, 0.000, 0.500]], "dos_ef_per_ev_atom": 0.895, "polymorph_energy_ev_per_atom": 0.000, "raw_formation_energy_ev_per_atom": -0.27}